# NbBiS

A relaxed structure of NbBiS (GGA-PBE, Alexandria).

Computed properties:
Its volume is 25.12 A^3/atom. The space group is P2_1/m. The calculation puts the formation energy without anion corrections at -528 meV per atom. The calculation puts the energy above the most stable polymorph in this dataset at 0.0 meV/atom. For the magnetic moment, the calculation gives 0.0 μB per formula unit.

Lattice parameters (Å, degrees): 6.607 3.378 7.205 90.00 110.40 90.00
Element x y z (fractional)
1 S 0.218 0.250 0.856
2 S 0.782 0.750 0.144
3 Bi 0.725 0.250 0.632
4 Bi 0.275 0.750 0.368
5 Nb 0.527 0.250 0.171
6 Nb 0.473 0.750 0.829

# Tb3Pm2Dy6Y

A relaxed structure of Tb3Pm2Dy6Y (GGA-PBE, Alexandria).

Computed properties:
Its volume is 32.08 A^3/atom. The space group is C2/m. The calculation puts the formation enthalpy at 0 K at 0.02 eV/atom. For the magnetic moment, the calculation gives 0.0 μB per formula unit.

Lattice parameters (Å, degrees): 6.177 6.177 11.821 94.97 94.97 119.96
Element x y z (fractional)
1 Dy 0.916 0.582 0.748
2 Dy 0.582 0.916 0.748
3 Dy 0.418 0.084 0.252
4 Dy 0.751 0.751 0.252
5 Dy 0.249 0.249 0.748
6 Dy 0.084 0.418 0.252
7 Tb 0.500 0.500 0.500
8 Tb 0.834 0.166 0.500
9 Tb 0.166 0.834 0.500
10 Pm 0.333 0.667 0.000
11 Pm 0.667 0.333 0.000
12 Y 0.000 0.000 0.000

# SrLaTb2

A relaxed structure of SrLaTb2 (GGA-PBE, Alexandria).

Computed properties:
Its volume is 37.04 A^3/atom. The space group is P4/mmm. The calculation puts the formation enthalpy at 0 K at 0.19 eV/atom. The calculation puts the energy above the most stable polymorph in this dataset at 73.9 meV/atom. For the magnetic moment, the calculation gives 0.0 μB per formula unit.

Lattice parameters (Å, degrees): 5.283 5.296 5.296 90.00 90.00 90.00
Element x y z (fractional)
1 La 0.500 0.500 0.500
2 Tb 0.000 0.500 0.000
3 Tb 0.000 0.000 0.500
4 Sr 0.500 0.000 0.000

# NbNiB

A relaxed structure of NbNiB (GGA-PBE, Alexandria).

Computed properties:
Its volume is 12.07 A^3/atom. The space group is Cm. The calculation puts the formation enthalpy at 0 K at -0.23 eV/atom. For the magnetic moment, the calculation gives 0.0 μB per formula unit.

Lattice parameters (Å, degrees): 3.874 3.627 5.302 90.00 103.45 90.00
Element x y z (fractional)
1 Nb 0.685 0.500 0.707
2 Nb 0.685 0.000 0.207
3 B 0.067 0.000 0.938
4 B 0.067 0.500 0.438
5 Ni 0.205 0.500 0.115
6 Ni 0.205 0.000 0.615

# CsTlCdHg2

A relaxed structure of CsTlCdHg2 (GGA-PBE, Alexandria).

Computed properties:
Its volume is 35.44 A^3/atom. The space group is I-4m2. The calculation puts the formation enthalpy at 0 K at -0.14 eV/atom. The calculation puts the energy above the most stable polymorph in this dataset at 0.0 meV/atom. For the magnetic moment, the calculation gives 0.0 μB per formula unit.

Lattice parameters (Å, degrees): 5.120 5.120 7.667 109.51 109.51 90.00
Element x y z (fractional)
1 Cd 0.750 0.250 0.500
2 Hg 0.618 0.618 0.236
3 Hg 0.382 0.382 0.764
4 Cs 0.000 0.000 0.000
5 Tl 0.250 0.750 0.500

# CaB2H8

A relaxed structure of CaB2H8 (GGA-PBE, Alexandria).

Computed properties:
Its volume is 9.85 A^3/atom. The space group is I-42d. The calculation puts the energy above the most stable polymorph in this dataset at 19.0 meV/atom. For the magnetic moment, the calculation gives 0.0 μB per formula unit.

Lattice parameters (Å, degrees): 7.596 7.596 7.596 134.90 134.90 65.69
Element x y z (fractional)
1 B 0.772 0.772 0.000
2 B 0.978 0.478 0.500
3 B 0.228 0.228 0.000
4 B 0.522 0.022 0.500
5 H 0.069 0.312 0.034
6 H 0.341 0.080 0.490
7 H 0.830 0.591 0.990
8 H 0.160 0.170 0.762
9 H 0.681 0.215 0.743
10 H 0.602 0.840 0.010
11 H 0.688 0.722 0.757
12 H 0.965 0.931 0.243
13 H 0.785 0.528 0.466
14 H 0.062 0.319 0.534
15 H 0.278 0.035 0.966
16 H 0.409 0.398 0.238
17 H 0.590 0.852 0.510
18 H 0.920 0.410 0.262
19 H 0.148 0.659 0.738
20 H 0.472 0.938 0.257
21 Ca 0.750 0.250 0.500
22 Ca 0.000 0.000 0.000

# Al5Zn4Ga

A relaxed structure of Al5Zn4Ga (GGA-PBE, Alexandria).

Computed properties:
Its volume is 16.75 A^3/atom. The space group is C2/m. The calculation puts the formation enthalpy at 0 K at 0.08 eV/atom. For the magnetic moment, the calculation gives 0.0 μB per formula unit.

Lattice parameters (Å, degrees): 4.313 4.313 10.727 68.93 68.92 68.84
Element x y z (fractional)
1 Al 0.000 0.000 0.000
2 Al 0.400 0.400 0.804
3 Al 0.199 0.199 0.393
4 Al 0.801 0.801 0.607
5 Al 0.600 0.600 0.196
6 Zn 0.301 0.301 0.097
7 Zn 0.699 0.699 0.903
8 Zn 0.097 0.097 0.708
9 Zn 0.903 0.903 0.292
10 Ga 0.500 0.500 0.500

# Cs2HfI4F2

A relaxed structure of Cs2HfI4F2 (GGA-PBE, Alexandria).

Computed properties:
Its volume is 40.55 A^3/atom. The space group is C2/m. The calculation puts the formation energy without anion corrections at -1972 meV per atom. For the magnetic moment, the calculation gives 0.0 μB per formula unit.

Lattice parameters (Å, degrees): 6.712 7.891 7.891 65.84 75.92 75.92
Element x y z (fractional)
1 Cs 0.844 0.318 0.318
2 Cs 0.156 0.682 0.682
3 I 0.689 0.851 0.335
4 I 0.311 0.149 0.665
5 I 0.689 0.335 0.851
6 I 0.311 0.665 0.149
7 Hf 0.500 0.000 0.000
8 F 0.257 0.126 0.126
9 F 0.743 0.874 0.874

magnetic moment of number 3 (SrLaTb2)?
0.0 μB per formula unit